1.
# Ba2ZrAs, relaxed, DFT GGA-PBE
data_Ba2ZrAs
_symmetry_space_group_name_H-M 'I m m m'
_symmetry_Int_Tables_number 71
_symmetry_space_group_name_Hall '-I 2 2'
_cell_length_a 3.870
_cell_length_b 3.937
_cell_length_c 19.781
_cell_angle_alpha 90.00
_cell_angle_beta 90.00
_cell_angle_gamma 90.00
loop_
_atom_site_label
_atom_site_type_symbol
_atom_site_fract_x
_atom_site_fract_y
_atom_site_fract_z
_atom_site_occupancy
Ba1 Ba 0.000 0.000 0.155 1
Zr1 Zr 0.000 0.500 0.000 1
As1 As 0.000 0.500 0.500 1
# Electronic total energy ... -36.84 eV for the cell shown
# Calculated formation energy ... -1.377 eV per formula unit
# Theoretical density ... 4.86 g cm⁻³
# Crystal system ... orthorhombic

---

2.
# Tm3Mg7Cd2, relaxed, DFT GGA-PBE
data_Tm3Mg7Cd2
_symmetry_space_group_name_H-M 'C m m m'
_symmetry_Int_Tables_number 65
_symmetry_space_group_name_Hall '-C 2 2'
_cell_length_a 5.122
_cell_length_b 32.912
_cell_length_c 3.497
_cell_angle_alpha 90.00
_cell_angle_beta 90.00
_cell_angle_gamma 90.00
loop_
_atom_site_label
_atom_site_type_symbol
_atom_site_fract_x
_atom_site_fract_y
_atom_site_fract_z
_atom_site_occupancy
Tm1 Tm 0.000 0.000 0.000 1
Tm2 Tm 0.000 0.178 0.000 1
Mg1 Mg 0.000 0.088 0.500 1
Mg2 Mg 0.000 0.269 0.500 1
Mg3 Mg 0.000 0.426 0.000 1
Mg4 Mg 0.000 0.500 0.500 1
Cd1 Cd 0.000 0.354 0.500 1
# Electronic total energy ... -54.64 eV for the cell shown
# Calculated formation energy ... -0.911 eV per formula unit
# Theoretical density ... 5.08 g cm⁻³
# Crystal system ... orthorhombic
# Energy relative to the lowest polymorph listed for this composition ... 0 meV/atom

---

3.
# Zr2PbCl, relaxed, DFT GGA-PBE
data_Zr2PbCl
_symmetry_space_group_name_H-M 'C 1 m 1'
_symmetry_Int_Tables_number 8
_symmetry_space_group_name_Hall 'C -2y'
_cell_length_a 10.335
_cell_length_b 3.287
_cell_length_c 5.645
_cell_angle_alpha 90.00
_cell_angle_beta 99.45
_cell_angle_gamma 90.00
loop_
_atom_site_label
_atom_site_type_symbol
_atom_site_fract_x
_atom_site_fract_y
_atom_site_fract_z
_atom_site_occupancy
Zr1 Zr 0.000 0.000 0.000 1
Zr2 Zr 0.229 0.500 0.287 1
Pb1 Pb 0.249 0.000 0.790 1
Cl1 Cl 0.473 0.000 0.353 1
# Electronic total energy ... -47.92 eV for the cell shown
# Theoretical density ... 7.46 g cm⁻³
# E_form (uncorrected) ... -0.327 eV/atom
# Crystal system ... monoclinic
# Energy relative to the lowest polymorph listed for this composition ... 184 meV/atom

---

4.
# LaZr2TaC, relaxed, DFT GGA-PBE
data_LaZr2TaC
_symmetry_space_group_name_H-M 'P 4/m m m'
_symmetry_Int_Tables_number 123
_symmetry_space_group_name_Hall '-P 4 2'
_cell_length_a 4.527
_cell_length_b 4.527
_cell_length_c 5.211
_cell_angle_alpha 90.00
_cell_angle_beta 90.00
_cell_angle_gamma 90.00
loop_
_atom_site_label
_atom_site_type_symbol
_atom_site_fract_x
_atom_site_fract_y
_atom_site_fract_z
_atom_site_occupancy
La1 La 0.000 0.000 0.000 1
Zr1 Zr 0.000 0.500 0.500 1
Ta1 Ta 0.500 0.500 0.000 1
C1 C 0.000 0.000 0.500 1
# Electronic total energy ... -42.25 eV for the cell shown
# Calculated formation energy ... 0.854 eV per formula unit
# Theoretical density ... 8.00 g cm⁻³
# Crystal system ... tetragonal